Material: MoPdPt6
Method: DFT, GGA-PBE
State: relaxed

Fermi-level density of states	1.384	states/eV/atom
formation energy	-0.20	eV/atom
E	-53.86	eV/cell
space-group type	P4/mmm (123)
ρ	18.34	g/cm³

Cell lengths 3.967, 3.967, 7.899 Å; angles 90.00, 90.00, 90.00 degrees
Element x y z (fractional)
Mo 0.000 0.000 0.000
Pd 0.000 0.000 0.500
Pt 0.000 0.500 0.243
Pt 0.000 0.500 0.757
Pt 0.500 0.000 0.243
Pt 0.500 0.000 0.757
Pt 0.500 0.500 0.000
Pt 0.500 0.500 0.500

Material: Fe2Ge
Method: DFT, GGA-PBE
State: relaxed

Fermi-level density of states	0.648	states/eV/atom
formation energy	0.23	eV/atom
E	-20.86	eV/cell
space-group type	P6/mmm (191)
ρ	7.84	g/cm³

Cell lengths 4.147, 4.147, 2.620 Å; angles 90.00, 90.00, 120.00 degrees
Element x y z (fractional)
Fe 0.333 0.667 0.000
Fe 0.667 0.333 0.000
Ge 0.000 0.000 0.500

Material: Sm2BeCuPd6
Method: DFT, GGA-PBE
State: relaxed

Fermi-level density of states	0.343	states/eV/atom
formation energy	-0.56	eV/atom
E	-54.02	eV/cell
space-group type	C2/m (12)
ρ	9.15	g/cm³

Cell lengths 6.096, 6.096, 7.677 Å; angles 122.91, 122.91, 54.34 degrees
Element x y z (fractional)
Sm 0.224 0.224 0.198
Sm 0.776 0.776 0.802
Be 0.000 0.000 0.500
Cu 0.500 0.500 0.000
Pd 0.237 0.736 0.264
Pd 0.247 0.247 0.616
Pd 0.264 0.763 0.736
Pd 0.736 0.237 0.264
Pd 0.753 0.753 0.384
Pd 0.763 0.264 0.736

Material: CeSiNiC
Method: DFT, GGA-PBE
State: relaxed

Fermi-level density of states	0.912	states/eV/atom
E	-57.06	eV/cell
space-group type	P4/nmm (129)
ρ	6.65	g/cm³
energy relative to the elements, uncorrected	-0.54	eV per atom

Cell lengths 3.751, 3.751, 8.480 Å; angles 90.00, 90.00, 90.00 degrees
Element x y z (fractional)
Ce 0.250 0.250 0.157
Ce 0.750 0.750 0.843
Si 0.250 0.250 0.656
Si 0.750 0.750 0.344
Ni 0.250 0.750 0.500
Ni 0.750 0.250 0.500
C 0.250 0.250 0.873
C 0.750 0.750 0.127

Material: FeAu
Method: DFT, GGA-PBE
State: relaxed

Fermi-level density of states	0.955	states/eV/atom
formation energy	0.28	eV/atom
E	-44.74	eV/cell
space-group type	I4/mmm (139)
ρ	13.13	g/cm³

Cell lengths 5.946, 5.946, 5.946 Å; angles 96.84, 96.84, 139.61 degrees
Element x y z (fractional)
Fe 0.156 0.156 0.312
Fe 0.156 0.844 0.000
Fe 0.844 0.156 0.000
Fe 0.844 0.844 0.688
Au 0.194 0.500 0.694
Au 0.500 0.194 0.694
Au 0.500 0.806 0.306
Au 0.806 0.500 0.306

Material: LaCu3Te
Method: DFT, GGA-PBE
State: relaxed

Fermi-level density of states	0.821	states/eV/atom
E	-15.05	eV/cell
space-group type	Pm-3m (221)
ρ	5.45	g/cm³
energy relative to the elements, uncorrected	1.06	eV per atom

Cell lengths 5.184, 5.184, 5.184 Å; angles 90.00, 90.00, 90.00 degrees
Element x y z (fractional)
La 0.000 0.000 0.000
Cu 0.000 0.000 0.500
Cu 0.000 0.500 0.000
Cu 0.500 0.000 0.000
Te 0.500 0.500 0.500

Material: Pr2SmTh4
Method: DFT, GGA-PBE
State: relaxed

Fermi-level density of states	1.601	states/eV/atom
formation energy	0.08	eV/atom
E	-43.43	eV/cell
space-group type	Cmmm (65)
ρ	9.49	g/cm³

Cell lengths 18.460, 18.460, 3.601 Å; angles 90.00, 90.00, 168.81 degrees
Element x y z (fractional)
Pr 0.205 0.795 0.000
Pr 0.795 0.205 0.000
Sm 0.500 0.500 0.500
Th 0.071 0.929 0.000
Th 0.363 0.637 0.500
Th 0.637 0.363 0.500
Th 0.929 0.071 0.000

Material: AcCePu
Method: DFT, GGA-PBE
State: relaxed

Fermi-level density of states	2.615	states/eV/atom
formation energy	0.27	eV/atom
E	-47.13	eV/cell
space-group type	P2_1/m (11)
ρ	11.11	g/cm³

Cell lengths 7.021, 3.669, 7.097 Å; angles 90.00, 92.77, 90.00 degrees
Element x y z (fractional)
Ac 0.100 0.250 0.265
Ac 0.900 0.750 0.735
Ce 0.374 0.250 0.829
Ce 0.626 0.750 0.171
Pu 0.413 0.750 0.549
Pu 0.587 0.250 0.451

Material: Y3Zn2Pd6
Method: DFT, GGA-PBE
State: relaxed

Fermi-level density of states	0.461	states/eV/atom
formation energy	-0.78	eV/atom
E	-123.27	eV/cell
space-group type	Im-3m (229)
ρ	8.03	g/cm³

Cell lengths 8.227, 8.227, 8.227 Å; angles 109.47, 109.47, 109.47 degrees
Element x y z (fractional)
Y 0.000 0.300 0.300
Y 0.000 0.700 0.700
Y 0.300 0.000 0.300
Y 0.300 0.300 0.000
Y 0.700 0.000 0.700
Y 0.700 0.700 0.000
Zn 0.000 0.000 0.500
Zn 0.000 0.500 0.000
Zn 0.500 0.000 0.000
Zn 0.500 0.500 0.500
Pd 0.000 0.334 0.666
Pd 0.000 0.666 0.334
Pd 0.333 0.666 0.666
Pd 0.334 0.000 0.666
Pd 0.334 0.334 0.667
Pd 0.334 0.666 0.000
Pd 0.334 0.667 0.334
Pd 0.666 0.000 0.334
Pd 0.666 0.333 0.666
Pd 0.666 0.334 0.000
Pd 0.666 0.666 0.333
Pd 0.667 0.334 0.334

Material: SrCo3W
Method: DFT, GGA-PBE
State: relaxed

Fermi-level density of states	1.180	states/eV/atom
formation energy	0.88	eV/atom
E	-31.55	eV/cell
space-group type	Pm-3m (221)
ρ	7.63	g/cm³

Cell lengths 4.603, 4.603, 4.603 Å; angles 90.00, 90.00, 90.00 degrees
Element x y z (fractional)
Sr 0.000 0.000 0.000
Co 0.000 0.500 0.500
Co 0.500 0.000 0.500
Co 0.500 0.500 0.000
W 0.500 0.500 0.500

Material: ZrAgHg2I
Method: DFT, GGA-PBE
State: relaxed

Fermi-level density of states	1.107	states/eV/atom
E	-7.73	eV/cell
space-group type	P4/mmm (123)
ρ	5.75	g/cm³
energy relative to the elements, uncorrected	1.17	eV per atom

Cell lengths 6.436, 6.436, 5.069 Å; angles 90.00, 90.00, 90.00 degrees
Element x y z (fractional)
Zr 0.000 0.000 0.000
Ag 0.500 0.500 0.000
Hg 0.000 0.500 0.500
Hg 0.500 0.000 0.500
I 0.500 0.500 0.500

Material: SrB2RuRh
Method: DFT, GGA-PBE
State: relaxed

Fermi-level density of states	0.411	states/eV/atom
formation energy	-0.44	eV/atom
E	-33.88	eV/cell
space-group type	I-4m2 (119)
ρ	6.18	g/cm³

Cell lengths 5.955, 5.955, 5.955 Å; angles 140.67, 140.67, 56.83 degrees
Element x y z (fractional)
Sr 0.000 0.000 0.000
B 0.311 0.311 0.000
B 0.689 0.689 0.000
Ru 0.750 0.250 0.500
Rh 0.250 0.750 0.500